# 1
10
Lattice="-0.510 -0.872 -5.983 2.906 -6.443 -3.414 -8.660 2.177 6.575" Properties=species:S:1:pos:R:3 comment="PmEr2Tm7 (PBE, relaxed)" formation_energy_ev_per_atom=0.0251 e_tot_ev_per_atom=-4.493 space_group="P-1 (2)" de_polymorph_mev_per_atom=0.0 pbc="T T T"
Pm 0.000 0.000 0.000
Er -2.833 -4.931 -2.120
Er -3.431 -0.208 -0.701
Tm -1.720 -3.003 0.580
Tm -4.544 -2.136 -3.402
Tm -5.145 -3.201 -0.122
Tm -1.120 -1.938 -2.699
Tm 0.583 -4.718 -1.411
Tm -6.847 -0.421 -1.410
Tm 1.198 -3.658 -4.699

# 2
4
Lattice="3.560 0.000 0.000 1.780 3.083 0.000 1.780 1.028 11.432" Properties=species:S:1:pos:R:3 comment="PmEr2Tm (PBE, relaxed)" formation_energy_ev_per_atom=0.0197 e_tot_ev_per_atom=-4.567 space_group="R3m (160)" de_polymorph_mev_per_atom=10.4 pbc="T T T"
Pm 3.560 2.055 5.697
Er 1.780 1.028 8.634
Er 1.780 1.028 2.805
Tm 3.560 2.055 0.012

# 3
11
Lattice="7.431 -2.915 -5.461 -5.139 7.971 1.893 -1.879 2.915 9.028" Properties=species:S:1:pos:R:3 comment="Pm4Er6Tm (PBE, relaxed)" formation_energy_ev_per_atom=0.2969 e_tot_ev_per_atom=-4.326 space_group="I-42m (121)" de_polymorph_mev_per_atom=128.9 pbc="T T T"
Pm -3.294 5.110 1.327
Pm 0.251 2.862 1.913
Pm -1.265 1.963 5.768
Pm -2.297 8.924 7.374
Er -4.972 7.714 5.562
Er -3.810 5.911 8.106
Er -1.228 4.976 4.087
Er 1.146 2.528 -1.784
Er 3.406 0.258 -1.373
Er 2.776 0.000 1.784
Tm 0.000 0.000 0.000

# 4
12
Lattice="-2.736 -4.769 -2.082 -0.745 0.499 -8.464 5.667 -7.570 1.593" Properties=species:S:1:pos:R:3 comment="Pm4Er3Tm5 (PBE, relaxed)" formation_energy_ev_per_atom=0.2376 e_tot_ev_per_atom=-4.350 space_group="C2/m (12)" pbc="T T T"
Pm -2.229 -4.399 -3.594
Pm 3.003 -5.443 0.221
Pm -0.817 -6.398 -9.173
Pm 4.415 -7.441 -5.358
Er -0.475 -4.135 -6.505
Er 2.461 -3.536 -3.436
Er 2.661 -7.705 -2.448
Tm 2.086 -8.587 -7.974
Tm 1.093 -5.920 -4.476
Tm -0.241 -1.677 -4.142
Tm 2.427 -10.163 -4.810
Tm 0.100 -3.254 -0.978

# 5
9
Lattice="-4.126 2.567 -2.715 -6.698 -5.702 -0.918 -7.598 -1.537 4.387" Properties=species:S:1:pos:R:3 comment="Pm4Er4Tm (PBE, relaxed)" formation_energy_ev_per_atom=0.1081 e_tot_ev_per_atom=-4.528 space_group="C2/m (12)" de_polymorph_mev_per_atom=84.9 pbc="T T T"
Pm -4.356 -0.592 0.355
Pm -14.066 -4.080 0.399
Pm -12.919 -0.998 1.571
Pm -5.503 -3.674 -0.817
Er -7.917 -1.343 -0.651
Er -11.824 -2.578 -1.588
Er -10.505 -3.328 1.406
Er -6.599 -2.094 2.342
Tm -2.063 1.284 -1.357

# 6
20
Lattice="-0.157 -4.076 -2.908 4.919 -0.669 0.671 -4.627 -14.047 19.937" Properties=species:S:1:pos:R:3 comment="Pm4Er15Tm (PBE, relaxed)" formation_energy_ev_per_atom=0.0229 e_tot_ev_per_atom=-4.573 space_group="P4/mmm (123)" pbc="T T T"
Pm -0.921 -2.796 3.969
Pm -1.849 -5.612 7.964
Pm -2.779 -8.436 11.972
Pm -3.706 -11.251 15.968
Er 2.381 -2.372 -1.119
Er 1.462 -5.161 2.839
Er 0.532 -7.986 6.849
Er -0.397 -10.805 10.850
Er -1.328 -13.631 14.861
Er -0.533 -3.418 0.504
Er -1.462 -6.239 4.508
Er -2.392 -9.062 8.514
Er -3.322 -11.884 12.520
Er -4.251 -14.705 16.524
Er 2.005 -1.714 2.294
Er 1.076 -4.535 6.298
Er 0.146 -7.358 10.304
Er -0.784 -10.181 14.310
Er -1.713 -13.002 18.314
Tm 0.000 0.000 0.000

# 7
12
Lattice="-4.236 -3.278 1.900 0.431 -6.485 -10.226 6.007 -2.943 -0.186" Properties=species:S:1:pos:R:3 comment="Pm4ErTm (PBE, relaxed)" formation_energy_ev_per_atom=0.0575 e_tot_ev_per_atom=-4.615 space_group="C2/c (15)" de_polymorph_mev_per_atom=0.0 pbc="T T T"
Pm 3.679 -6.805 -8.089
Pm 1.195 -5.318 -1.958
Pm -2.762 -3.228 0.989
Pm -0.445 -4.844 -5.066
Pm 4.964 -9.478 -9.502
Pm 2.647 -7.861 -3.446
Pm -1.478 -5.901 -0.423
Pm 1.006 -7.388 -6.554
Er 3.219 -4.714 -5.206
Er 0.885 -3.111 0.857
Tm -0.965 -2.451 -2.076
Tm -2.841 -7.312 -6.250

# 8
12
Lattice="5.107 0.000 0.000 0.000 5.107 0.000 0.000 0.000 15.319" Properties=species:S:1:pos:R:3 comment="Pm9Er2Tm (PBE, relaxed)" formation_energy_ev_per_atom=0.0163 e_tot_ev_per_atom=-4.680 space_group="P4/mmm (123)" pbc="T T T"
Pm 2.554 2.554 0.000
Pm 2.554 2.554 5.106
Pm 2.554 2.554 10.214
Pm 2.554 0.000 2.551
Pm 2.554 0.000 7.660
Pm 2.554 0.000 12.768
Pm 0.000 2.554 2.551
Pm 0.000 2.554 7.660
Pm 0.000 2.554 12.768
Er 0.000 0.000 5.105
Er 0.000 0.000 10.214
Tm 0.000 0.000 0.000